Compound: TbBe2SiPt4
Source: Alexandria via LeMat-Bulk
Functional: PBE
Structure: relaxed

Cell: 9.084 9.084 9.084 Å, 25.76 25.76 25.76°
Atoms (fractional coordinates):
Tb  0.000  0.000  0.000
Be  0.252  0.252  0.252
Be  0.748  0.748  0.748
Si  0.500  0.500  0.500
Pt  0.135  0.135  0.135
Pt  0.406  0.406  0.406
Pt  0.594  0.594  0.594
Pt  0.865  0.865  0.865

Values from the calculation:
- E_form (uncorrected): -6.4 eV/f.u.
- DOS(E_F): 4.3 states/eV per cell
- Crystal system: trigonal

Compound: Tb2Be4SiPt3
Source: Alexandria via LeMat-Bulk
Functional: PBE
Structure: relaxed

Cell: 3.876 3.876 10.133 Å, 90.00 90.00 90.00°
Atoms (fractional coordinates):
Tb  0.000  0.500  0.249
Tb  0.500  0.000  0.751
Be  0.000  0.000  0.500
Be  0.000  0.500  0.864
Be  0.500  0.000  0.136
Be  0.500  0.500  0.500
Si  0.500  0.500  0.000
Pt  0.000  0.000  0.000
Pt  0.000  0.500  0.626
Pt  0.500  0.000  0.374

Values from the calculation:
- E_form (uncorrected): -7.8 eV/f.u.
- DOS(E_F): 5.4 states/eV per cell
- Crystal system: tetragonal

Compound: Tb2Be3Si4Pt
Source: Alexandria via LeMat-Bulk
Functional: PBE
Structure: relaxed

Cell: 3.941 3.941 9.811 Å, 90.00 90.00 90.00°
Atoms (fractional coordinates):
Tb  0.000  0.500  0.243
Tb  0.500  0.000  0.757
Be  0.000  0.500  0.870
Be  0.500  0.000  0.130
Be  0.500  0.500  0.500
Si  0.000  0.000  0.000
Si  0.000  0.500  0.642
Si  0.500  0.000  0.358
Si  0.500  0.500  0.000
Pt  0.000  0.000  0.500

Values from the calculation:
- E_form (uncorrected): -5.7 eV/f.u.
- DOS(E_F): 3.5 states/eV per cell
- Crystal system: tetragonal

Compound: Tb3BeSi2Pt9
Source: Alexandria via LeMat-Bulk
Functional: PBE
Structure: relaxed

Cell: 6.372 6.372 8.107 Å, 90.00 90.00 120.00°
Atoms (fractional coordinates):
Tb  0.000  0.000  0.000
Tb  0.333  0.667  0.664
Tb  0.667  0.333  0.336
Be  0.000  0.000  0.500
Si  0.333  0.667  0.196
Si  0.667  0.333  0.804
Pt  0.000  0.500  0.000
Pt  0.143  0.286  0.302
Pt  0.143  0.857  0.302
Pt  0.286  0.143  0.698
Pt  0.500  0.000  0.000
Pt  0.500  0.500  0.000
Pt  0.714  0.857  0.302
Pt  0.857  0.143  0.698
Pt  0.857  0.714  0.698

Values from the calculation:
- E_form (uncorrected): -11.5 eV/f.u.
- DOS(E_F): 6.1 states/eV per cell
- Crystal system: trigonal

Compound: Tb2BeSi3Pt4
Source: Alexandria via LeMat-Bulk
Functional: PBE
Structure: relaxed

Cell: 4.151 4.151 9.881 Å, 90.00 90.00 90.00°
Atoms (fractional coordinates):
Tb  0.000  0.500  0.240
Tb  0.500  0.000  0.760
Be  0.500  0.500  0.000
Si  0.000  0.000  0.000
Si  0.000  0.500  0.638
Si  0.500  0.000  0.362
Pt  0.000  0.000  0.500
Pt  0.000  0.500  0.877
Pt  0.500  0.000  0.123
Pt  0.500  0.500  0.500

Values from the calculation:
- E_form (uncorrected): -10.8 eV/f.u.
- DOS(E_F): 4.7 states/eV per cell
- Crystal system: tetragonal

Compound: TbBe2SiPt
Source: Alexandria via LeMat-Bulk
Functional: PBE
Structure: relaxed

Cell: 3.873 3.959 9.862 Å, 90.00 90.00 90.00°
Atoms (fractional coordinates):
Tb  0.000  0.000  0.000
Tb  0.500  0.500  0.500
Be  0.000  0.000  0.382
Be  0.000  0.500  0.251
Be  0.500  0.000  0.751
Be  0.500  0.500  0.882
Si  0.000  0.000  0.615
Si  0.500  0.500  0.115
Pt  0.000  0.500  0.758
Pt  0.500  0.000  0.258

Values from the calculation:
- E_form (uncorrected): -3.3 eV/f.u.
- DOS(E_F): 4.9 states/eV per cell
- Crystal system: orthorhombic

| no. | calculated density (g/cm³) |
| --- | --- |
| 1 | 13.120 |
| 2 | 10.553 |
| 3 | 7.110 |
| 4 | 13.384 |
| 5 | 11.618 |
| 6 | 8.787 |